# 1
Density functional theory data (PBE) for TiAs2PBr after structural relaxation.

Computed properties:
Space group: P4/mmm
Total moment, μB/cell: 1.4

POSCAR file:
```
TiAs2PBr
1.0
4.740 0.000 0.000
0.000 4.740 0.000
0.000 0.000 4.972
Ti As P Br
1 2 1 1
direct
0.000 0.000 0.000
0.000 0.500 0.500
0.500 0.000 0.500
0.500 0.500 0.500
0.500 0.500 0.000
```


# 2
Density functional theory data (PBE) for VAs2PBr after structural relaxation.

Computed properties:
Space group: P4/mmm
Total moment, μB/cell: 2.7

POSCAR file:
```
VAs2PBr
1.0
4.736 0.000 0.000
0.000 4.736 0.000
0.000 0.000 5.016
V As P Br
1 2 1 1
direct
0.000 0.000 0.000
0.000 0.500 0.500
0.500 0.000 0.500
0.500 0.500 0.500
0.500 0.500 0.000
```


# 3
Density functional theory data (PBE) for VAsPBr2 after structural relaxation.

Computed properties:
Space group: P4/mmm
Total moment, μB/cell: 0.0

POSCAR file:
```
VAsPBr2
1.0
4.933 0.000 0.000
0.000 4.933 0.000
0.000 0.000 5.004
V As P Br
1 1 1 2
direct
0.000 0.000 0.000
0.500 0.500 0.000
0.500 0.500 0.500
0.000 0.500 0.500
0.500 0.000 0.500
```


# 4
Density functional theory data (PBE) for VAs2PBr after structural relaxation.

Computed properties:
Space group: P4/mmm
Total moment, μB/cell: 1.9

POSCAR file:
```
VAs2PBr
1.0
4.880 0.000 0.000
0.000 4.880 0.000
0.000 0.000 4.775
V As P Br
1 2 1 1
direct
0.000 0.000 0.000
0.000 0.500 0.000
0.500 0.000 0.000
0.500 0.500 0.500
0.000 0.000 0.500
```


Number 1: DOS(E_F) 4.43 states/eV/f.u., offset from the most stable computed form 179 meV/atom, ΔE_f (raw) 0.633 eV/atom. Number 2: DOS(E_F) 4.19 states/eV/f.u., offset from the most stable computed form 226 meV/atom, ΔE_f (raw) 0.840 eV/atom. Number 3: DOS(E_F) 6.75 states/eV/f.u., offset from the most stable computed form 538 meV/atom, ΔE_f (raw) 1.005 eV/atom. Number 4: DOS(E_F) 3.73 states/eV/f.u., offset from the most stable computed form 0 meV/atom, ΔE_f (raw) 0.614 eV/atom.